Entry 1:
Ga2TcPbO8 | PBE-GGA | optimized geometry

Structure (POSCAR):
```
Ga2TcPbO8
1.0
3.2905 -3.3192 0.0000
3.2905 3.3192 0.0000
0.0000 0.0000 6.4106
Ga Tc Pb O
2 1 1 8
Direct
0.0000 0.0000 0.2463
0.0000 0.0000 0.7537
0.5000 0.5000 0.0000
0.5000 0.5000 0.5000
0.1767 0.1767 0.5000
0.2053 0.2053 0.0000
0.2999 0.7001 0.2158
0.2999 0.7001 0.7842
0.7001 0.2999 0.2158
0.7001 0.2999 0.7842
0.7947 0.7947 0.0000
0.8233 0.8233 0.5000
```

Summary:
raw formation energy = -1328 meV/atom
DFT total energy = -6.31 eV/atom



Entry 2:
Zn2AgPd9 | PBE-GGA | optimized geometry

Structure (POSCAR):
```
Zn2AgPd9
1.0
3.9498 0.0000 0.0000
0.0000 3.9498 0.0000
0.0000 0.0000 11.7685
Zn Ag Pd
2 1 9
Direct
0.0000 0.0000 0.1625
0.0000 0.0000 0.8375
0.0000 0.0000 0.5000
0.0000 0.5000 0.0000
0.0000 0.5000 0.3265
0.0000 0.5000 0.6735
0.5000 0.0000 0.0000
0.5000 0.0000 0.3265
0.5000 0.0000 0.6735
0.5000 0.5000 0.1640
0.5000 0.5000 0.5000
0.5000 0.5000 0.8360
```

Summary:
DFT total energy = -4.54 eV/atom
ΔH_f (0 K) = -199 meV/atom



Entry 3:
NpPaAl6 | PBE-GGA | optimized geometry

Structure (POSCAR):
```
NpPaAl6
1.0
6.1878 0.0000 0.0000
-3.0939 5.3588 0.0000
0.0000 0.0000 4.6730
Np Pa Al
1 1 6
Direct
0.0000 0.0000 0.0000
0.3333 0.6667 0.5000
0.3611 0.1806 0.5000
0.5163 0.0326 0.0000
0.5163 0.4837 0.0000
0.8194 0.1806 0.5000
0.8194 0.6389 0.5000
0.9674 0.4837 0.0000
```

Summary:
DFT total energy = -5.80 eV/atom
ΔH_f (0 K) = -193 meV/atom



Entry 4:
Cd2AgBr | PBE-GGA | optimized geometry

Structure (POSCAR):
```
Cd2AgBr
1.0
3.6844 0.0000 0.0000
0.0000 3.9533 0.0000
-0.0209 0.0000 7.0849
Cd Ag Br
2 1 1
Direct
0.0000 0.0000 0.0000
0.4983 0.5000 0.7672
0.5007 0.5000 0.1672
0.5003 0.0000 0.4681
```

Summary:
excess energy over the best structure of this formula in the dataset = 0.074 eV/atom
raw formation energy = -82 meV/atom
DFT total energy = -1.67 eV/atom



Entry 5:
Hf2GeB | PBE-GGA | optimized geometry

Structure (POSCAR):
```
Hf2GeB
1.0
1.7056 0.9848 6.8103
-1.7056 0.9848 6.8103
0.0000 -1.9695 6.8103
Hf Ge B
2 1 1
Direct
0.2302 0.2302 0.2302
0.7698 0.7698 0.7698
0.0000 0.0000 0.0000
0.5000 0.5000 0.5000
```

Summary:
excess energy over the best structure of this formula in the dataset = 0.000 eV/atom
DFT total energy = -8.38 eV/atom
ΔH_f (0 K) = -575 meV/atom



Entry 6:
HoTm2Te3 | PBE-GGA | optimized geometry

Structure (POSCAR):
```
HoTm2Te3
1.0
-2.1708 3.0376 6.4468
2.1708 -3.0376 6.4468
2.1708 3.0376 -6.4468
Ho Tm Te
1 2 3
Direct
0.0000 0.0000 0.0000
0.3377 0.3377 0.0000
0.6623 0.6623 0.0000
0.1699 0.6699 0.5000
0.5000 0.0000 0.5000
0.8301 0.3301 0.5000
```

Summary:
excess energy over the best structure of this formula in the dataset = 0.033 eV/atom
raw formation energy = -1192 meV/atom
DFT total energy = -5.02 eV/atom



Entry 7:
NaMgBeTe2 | PBE-GGA | optimized geometry

Structure (POSCAR):
```
NaMgBeTe2
1.0
5.1755 0.0000 0.0000
0.0000 5.1755 0.0000
0.0000 0.0000 4.7795
Na Mg Be Te
1 1 1 2
Direct
0.0000 0.0000 0.0000
0.5000 0.5000 0.0000
0.0000 0.0000 0.5000
0.0000 0.5000 0.5000
0.5000 0.0000 0.5000
```

Summary:
raw formation energy = 141 meV/atom
DFT total energy = -2.44 eV/atom



Entry 8:
YMg3Ni2 | PBE-GGA | optimized geometry

Structure (POSCAR):
```
YMg3Ni2
1.0
7.2796 -1.9424 0.0000
7.2796 1.9424 0.0000
-5.7552 0.0000 8.6164
Y Mg Ni
2 6 4
Direct
0.1478 0.1478 0.2290
0.8522 0.8522 0.7710
0.1515 0.1515 0.7401
0.4161 0.4161 0.5498
0.4183 0.4183 0.0745
0.5817 0.5817 0.9255
0.5839 0.5839 0.4502
0.8485 0.8485 0.2599
0.2283 0.2283 0.0438
0.2313 0.2313 0.5513
0.7687 0.7687 0.4487
0.7717 0.7717 0.9562
```

Summary:
DFT total energy = -3.98 eV/atom
ΔH_f (0 K) = -181 meV/atom



Entry 9:
PPbIO2 | PBE-GGA | optimized geometry

Structure (POSCAR):
```
PPbIO2
1.0
4.2240 0.0000 0.0000
0.0000 4.2240 0.0000
0.0000 0.0000 5.2890
P Pb I O
1 1 1 2
Direct
0.0000 0.0000 0.0000
0.5000 0.5000 0.0000
0.0000 0.0000 0.5000
0.0000 0.5000 0.5000
0.5000 0.0000 0.5000
```

Summary:
raw formation energy = 134 meV/atom
DFT total energy = -3.98 eV/atom



Entry 10:
Li2ZrMo | PBE-GGA | optimized geometry

Structure (POSCAR):
```
Li2ZrMo
1.0
2.7616 0.0000 0.0000
0.0000 2.7616 0.0000
0.0000 0.0000 9.7123
Li Zr Mo
2 1 1
Direct
0.0000 0.0000 0.0000
0.5000 0.5000 0.2526
0.5000 0.5000 0.7224
0.0000 0.0000 0.4817
```

Summary:
excess energy over the best structure of this formula in the dataset = 0.047 eV/atom
DFT total energy = -5.53 eV/atom
ΔH_f (0 K) = 271 meV/atom



Entry 11:
TeRuC3 | PBE-GGA | optimized geometry

Structure (POSCAR):
```
TeRuC3
1.0
4.0905 0.0000 0.0000
0.0000 4.0905 0.0000
0.0000 0.0000 4.0905
Te Ru C
1 1 3
Direct
0.0000 0.0000 0.0000
0.5000 0.5000 0.5000
0.0000 0.0000 0.5000
0.0000 0.5000 0.0000
0.5000 0.0000 0.0000
```

Summary:
excess energy over the best structure of this formula in the dataset = 1.116 eV/atom
raw formation energy = 3248 meV/atom
DFT total energy = -4.77 eV/atom



Entry 12:
Er6Tm2Pb | PBE-GGA | optimized geometry

Structure (POSCAR):
```
Er6Tm2Pb
1.0
6.1137 0.0000 0.0000
-0.0079 6.5470 0.0000
-3.0062 -1.7540 13.3567
Er Tm Pb
12 4 2
Direct
0.0161 0.3577 0.3855
0.1534 0.1509 0.6094
0.1900 0.2010 0.0593
0.2624 0.9099 0.8341
0.3632 0.6997 0.0592
0.4100 0.7492 0.4983
0.5900 0.2508 0.5017
0.6368 0.3003 0.9408
0.7376 0.0901 0.1659
0.8100 0.7990 0.9407
0.8466 0.8491 0.3906
0.9839 0.6423 0.6145
0.0965 0.4138 0.8335
0.3058 0.9690 0.2791
0.6942 0.0310 0.7209
0.9035 0.5862 0.1665
0.4621 0.4712 0.2788
0.5379 0.5288 0.7212
```

Summary:
excess energy over the best structure of this formula in the dataset = 0.000 eV/atom
DFT total energy = -4.55 eV/atom
ΔH_f (0 K) = -98 meV/atom



Entry 13:
MgMnAg | PBE-GGA | optimized geometry

Structure (POSCAR):
```
MgMnAg
1.0
0.0000 3.1712 3.1712
3.1712 0.0000 3.1712
3.1712 3.1712 0.0000
Mg Mn Ag
1 1 1
Direct
0.0000 0.0000 0.0000
0.5000 0.5000 0.5000
0.2500 0.2500 0.2500
```

Summary:
DFT total energy = -4.15 eV/atom
ΔH_f (0 K) = 385 meV/atom



Entry 14:
CeYRuRh | PBE-GGA | optimized geometry

Structure (POSCAR):
```
CeYRuRh
1.0
3.4669 0.0000 0.0000
0.0000 3.4669 0.0000
0.0000 0.0000 6.8319
Ce Y Ru Rh
1 1 1 1
Direct
0.0000 0.0000 0.0000
0.0000 0.0000 0.5020
0.5000 0.5000 0.7660
0.5000 0.5000 0.2363
```

Summary:
excess energy over the best structure of this formula in the dataset = 0.000 eV/atom
DFT total energy = -7.82 eV/atom
ΔH_f (0 K) = -563 meV/atom



Entry 15:
Tb3Sm4Dy2 | PBE-GGA | optimized geometry

Structure (POSCAR):
```
Tb3Sm4Dy2
1.0
4.9090 -8.4674 0.0000
4.9090 8.4674 0.0000
0.0000 0.0000 7.0538
Tb Sm Dy
6 8 4
Direct
0.0000 0.0000 0.2500
0.0000 0.0000 0.7500
0.3306 0.6694 0.2500
0.3306 0.6694 0.7500
0.6694 0.3306 0.2500
0.6694 0.3306 0.7500
0.0207 0.6764 0.0000
0.3220 0.3468 0.0000
0.3236 0.9793 0.5000
0.3468 0.3220 0.5000
0.6532 0.6780 0.5000
0.6764 0.0207 0.5000
0.6780 0.6532 0.0000
0.9793 0.3236 0.0000
0.0215 0.3439 0.5000
0.3439 0.0215 0.0000
0.6561 0.9785 0.0000
0.9785 0.6561 0.5000
```

Summary:
excess energy over the best structure of this formula in the dataset = 0.041 eV/atom
DFT total energy = -4.61 eV/atom
ΔH_f (0 K) = 57 meV/atom



Entry 16:
Ac3LaPd7 | PBE-GGA | optimized geometry

Structure (POSCAR):
```
Ac3LaPd7
1.0
2.1516 -10.9927 0.0000
2.1516 10.9927 0.0000
0.0000 0.0000 11.4790
Ac La Pd
6 2 14
Direct
0.1313 0.8687 0.5614
0.1313 0.8687 0.9386
0.2205 0.7795 0.2500
0.7795 0.2205 0.7500
0.8687 0.1313 0.0614
0.8687 0.1313 0.4386
0.0263 0.9737 0.2500
0.9737 0.0263 0.7500
0.2802 0.7198 0.5462
0.2802 0.7198 0.9538
0.3698 0.6302 0.2500
0.3993 0.6007 0.6269
0.3993 0.6007 0.8731
0.4704 0.5296 0.1036
0.4704 0.5296 0.3964
0.5296 0.4704 0.6036
0.5296 0.4704 0.8964
0.6007 0.3993 0.1269
0.6007 0.3993 0.3731
0.6302 0.3698 0.7500
0.7198 0.2802 0.0462
0.7198 0.2802 0.4538
```

Summary:
DFT total energy = -5.64 eV/atom
ΔH_f (0 K) = -767 meV/atom



Entry 17:
Er3Tm6Tl | PBE-GGA | optimized geometry

Structure (POSCAR):
```
Er3Tm6Tl
1.0
5.1970 -9.4771 0.0000
5.1970 9.4771 0.0000
0.0000 0.0000 6.1211
Er Tm Tl
6 12 2
Direct
0.1049 0.8951 0.5000
0.2122 0.4532 0.1655
0.4532 0.2122 0.6655
0.5468 0.7878 0.1655
0.7878 0.5468 0.6655
0.8951 0.1049 0.0000
0.0685 0.4637 0.6967
0.1275 0.2082 0.5304
0.2082 0.1275 0.0304
0.2124 0.7876 0.9308
0.4422 0.5578 0.6792
0.4637 0.0685 0.1967
0.5363 0.9315 0.6967
0.5578 0.4422 0.1792
0.7876 0.2124 0.4308
0.7918 0.8725 0.5304
0.8725 0.7918 0.0304
0.9315 0.5363 0.1967
0.2635 0.7365 0.4208
0.7365 0.2635 0.9208
```

Summary:
excess energy over the best structure of this formula in the dataset = 0.025 eV/atom
DFT total energy = -4.24 eV/atom
ΔH_f (0 K) = 45 meV/atom



Entry 18:
Zn2CoBr | PBE-GGA | optimized geometry

Structure (POSCAR):
```
Zn2CoBr
1.0
3.1938 0.0000 0.0000
0.0000 3.6943 0.0000
-1.5582 0.0000 6.6028
Zn Co Br
2 1 1
Direct
0.0000 0.0000 0.0000
0.1539 0.5000 0.3165
0.6386 0.0000 0.2849
0.8702 0.5000 0.7359
```

Summary:
excess energy over the best structure of this formula in the dataset = 0.065 eV/atom
raw formation energy = 161 meV/atom
DFT total energy = -2.67 eV/atom



Entry 19:
MgBTe | PBE-GGA | optimized geometry

Structure (POSCAR):
```
MgBTe
1.0
4.0240 0.0000 0.0000
0.0000 3.3431 0.0000
-1.9979 0.0000 8.7341
Mg B Te
2 2 2
Direct
0.0778 0.2500 0.1501
0.9222 0.7500 0.8499
0.4837 0.2500 0.9657
0.5163 0.7500 0.0343
0.3398 0.2500 0.6888
0.6602 0.7500 0.3112
```

Summary:
excess energy over the best structure of this formula in the dataset = 0.056 eV/atom
raw formation energy = -61 meV/atom
DFT total energy = -3.87 eV/atom



Entry 20:
LiGaNi3 | PBE-GGA | optimized geometry

Structure (POSCAR):
```
LiGaNi3
1.0
3.0235 1.7456 3.9871
-3.0235 1.7456 3.9871
0.0000 -3.4912 3.9871
Li Ga Ni
2 2 6
Direct
0.0000 0.0000 0.0000
0.5000 0.5000 0.5000
0.1932 0.1932 0.1932
0.6932 0.6932 0.6932
0.0966 0.8469 0.6012
0.1012 0.3469 0.5966
0.3469 0.5966 0.1012
0.5966 0.1012 0.3469
0.6012 0.0966 0.8469
0.8469 0.6012 0.0966
```

Summary:
excess energy over the best structure of this formula in the dataset = 0.376 eV/atom
DFT total energy = -4.31 eV/atom
ΔH_f (0 K) = 143 meV/atom



Entry 21:
Sr3UBe2O8 | PBE-GGA | optimized geometry

Structure (POSCAR):
```
Sr3UBe2O8
1.0
5.5608 0.0000 0.0000
-2.7804 4.8158 0.0000
0.0000 0.0000 7.2111
Sr U Be O
3 1 2 8
Direct
0.0000 0.0000 0.0000
0.3333 0.6667 0.7052
0.6667 0.3333 0.2948
0.0000 0.0000 0.5000
0.3333 0.6667 0.2225
0.6667 0.3333 0.7775
0.1726 0.3452 0.3258
0.1726 0.8274 0.3258
0.3333 0.6667 0.0135
0.3452 0.1726 0.6742
0.6548 0.8274 0.3258
0.6667 0.3333 0.9865
0.8274 0.1726 0.6742
0.8274 0.6548 0.6742
```

Summary:
raw formation energy = -2813 meV/atom
DFT total energy = -7.35 eV/atom



Entry 22:
MgIn2Ge | PBE-GGA | optimized geometry

Structure (POSCAR):
```
MgIn2Ge
1.0
1.5995 0.9235 11.3520
-1.5995 0.9235 11.3520
0.0000 -1.8469 11.3520
Mg In Ge
1 2 1
Direct
0.0000 0.0000 0.0000
0.0912 0.0912 0.0912
0.9088 0.9088 0.9088
0.5000 0.5000 0.5000
```

Summary:
DFT total energy = -2.76 eV/atom
ΔH_f (0 K) = 164 meV/atom



Entry 23:
AgTeO | PBE-GGA | optimized geometry

Structure (POSCAR):
```
AgTeO
1.0
4.7397 0.0000 0.0000
-0.7678 4.6793 0.0000
-0.6944 -0.8654 5.4337
Ag Te O
2 2 2
Direct
0.2454 0.2389 0.0982
0.7546 0.7611 0.9018
0.0000 0.5000 0.5000
0.5000 0.0000 0.5000
0.3013 0.3031 0.7185
0.6987 0.6969 0.2815
```

Summary:
excess energy over the best structure of this formula in the dataset = 0.000 eV/atom
raw formation energy = -284 meV/atom
DFT total energy = -3.93 eV/atom